# Dy2Sc7In2 (PBE-GGA, optimized geometry)
data_Dy2Sc7In2
_cell_length_a 8.057
_cell_length_b 9.154
_cell_length_c 7.964
_cell_angle_alpha 90.00
_cell_angle_beta 106.69
_cell_angle_gamma 90.00
_space_group_name_H-M_alt 'C 1 2/m 1'
_space_group_IT_number 12
loop_
_space_group_symop_operation_xyz
'x,y,z'
'-x,-y,-z'
'-x,y,-z'
'x,-y,z'
'x+1/2,y+1/2,z'
'-x+1/2,-y+1/2,-z'
'-x+1/2,y+1/2,-z'
'x+1/2,-y+1/2,z'
loop_
_atom_site_label
_atom_site_fract_x
_atom_site_fract_y
_atom_site_fract_z
Dy1 0.000 0.184 0.000
Sc1 0.000 0.500 0.500
Sc2 0.140 0.500 0.915
Sc3 0.207 0.181 0.678
In1 0.126 0.000 0.345
# energy = -5.464 eV/atom
# energy of formation = -0.1004 eV per atom